No. 1
CsLu2CuTe3S | PBE | relaxed

a = 7.8968 Å, b = 7.8968 Å, c = 14.8540 Å
α = 90.00°, β = 90.00°, γ = 148.82°
With the nearest neighbours (Å) after each atom.
Atoms (fractional coordinates):
Cs 0.4062 0.5938 0.2500  2 S 3.43, 4 Te 3.70
Cs 0.5938 0.4062 0.7500  2 S 3.43, 4 Te 3.70
Cu 0.6593 0.3407 0.2500  2 S 2.42, 2 Te 2.63
Cu 0.3407 0.6593 0.7500  2 S 2.42, 2 Te 2.63
Lu 0.1313 0.8687 0.0781  1 S 2.66, 2 Te 2.96
Lu 0.1313 0.8687 0.4219  1 S 2.66, 2 Te 2.96
Lu 0.8687 0.1313 0.5781  1 S 2.66, 2 Te 2.96
Lu 0.8687 0.1313 0.9219  1 S 2.66, 2 Te 2.96
S 0.0834 0.9166 0.2500  2 Cu 2.42, 2 Lu 2.66
S 0.9166 0.0834 0.7500  2 Cu 2.42, 2 Lu 2.66
Te 0.5000 0.5000 0.0000  4 Lu 3.14
Te 0.7634 0.2366 0.1083  1 Cu 2.63
Te 0.7634 0.2366 0.3917  1 Cu 2.63
Te 0.5000 0.5000 0.5000  4 Lu 3.14
Te 0.2366 0.7634 0.6083  1 Cu 2.63
Te 0.2366 0.7634 0.8917  1 Cu 2.63

Calculated values
Total DFT energy (no corrections) = -0.1684 Ha/atom
Magnetic moment = 0.00 μB/f.u.
Space-group type = Cmcm, No. 63
Mass density = 6656 kg/m3

No. 2
CsLu2CuSe4 | PBE | relaxed

a = 7.5281 Å, b = 7.5281 Å, c = 14.3444 Å
α = 90.00°, β = 90.00°, γ = 148.25°
With the nearest neighbours (Å) after each atom.
Atoms (fractional coordinates):
Cs 0.1099 0.8901 0.2500  6 Se 3.40-3.53
Cs 0.8901 0.1099 0.7500  6 Se 3.40-3.53
Cu 0.8329 0.1671 0.2500  4 Se 2.44-2.47
Cu 0.1671 0.8329 0.7500  4 Se 2.44-2.47
Lu 0.3670 0.6330 0.0632  6 Se 2.78-2.96
Lu 0.3670 0.6330 0.4368  6 Se 2.78-2.96
Lu 0.6330 0.3670 0.5632  6 Se 2.78-2.96
Lu 0.6330 0.3670 0.9368  6 Se 2.78-2.96
Se 0.0000 0.0000 0.0000  4 Lu 2.96
Se 0.7438 0.2562 0.1031  1 Cu 2.47
Se 0.4229 0.5771 0.2500  2 Cu 2.44
Se 0.7438 0.2562 0.3969  1 Cu 2.47
Se 0.0000 0.0000 0.5000  4 Lu 2.96
Se 0.2562 0.7438 0.6031  1 Cu 2.47
Se 0.5771 0.4229 0.7500  2 Cu 2.44
Se 0.2562 0.7438 0.8969  1 Cu 2.47

Calculated values
Total DFT energy (no corrections) = -0.1797 Ha/atom
Magnetic moment = 0.00 μB/f.u.
Space-group type = Cmcm, No. 63
Mass density = 6694 kg/m3

No. 3
CsLu2Cu3Te4Se | PBE | relaxed

a = 8.0590 Å, b = 8.0590 Å, c = 17.8623 Å
α = 90.00°, β = 90.00°, γ = 149.16°
With the nearest neighbours (Å) after each atom.
Atoms (fractional coordinates):
Cs 0.9317 0.0683 0.2500  6 Te 3.58-3.74, 2 Se 3.69
Cs 0.0683 0.9317 0.7500  6 Te 3.58-3.74, 2 Se 3.69
Cu 0.4186 0.5814 0.0262  4 Te 2.63-2.75, 1 Cu 2.70
Cu 0.6610 0.3390 0.2500  2 Se 2.46
Cu 0.4186 0.5814 0.4738  4 Te 2.63-2.75, 1 Cu 2.70
Cu 0.5814 0.4186 0.5262  4 Te 2.63-2.75, 1 Cu 2.70
Cu 0.3390 0.6610 0.7500  2 Se 2.46
Cu 0.5814 0.4186 0.9738  4 Te 2.63-2.75, 1 Cu 2.70
Lu 0.1940 0.8060 0.0985  1 Se 2.79, 5 Te 3.02-3.08
Lu 0.1940 0.8060 0.4015  1 Se 2.79, 5 Te 3.02-3.08
Lu 0.8060 0.1940 0.5985  1 Se 2.79, 5 Te 3.02-3.08
Lu 0.8060 0.1940 0.9015  1 Se 2.79, 5 Te 3.02-3.08
Se 0.2384 0.7616 0.2500  2 Cu 2.46
Se 0.7616 0.2384 0.7500  2 Cu 2.46
Te 0.8321 0.1679 0.0691  2 Cu 2.64
Te 0.5594 0.4406 0.1196  3 Cu 2.63-2.81
Te 0.5594 0.4406 0.3804  3 Cu 2.63-2.81
Te 0.8321 0.1679 0.4309  2 Cu 2.64
Te 0.1679 0.8321 0.5691  2 Cu 2.64
Te 0.4406 0.5594 0.6196  3 Cu 2.63-2.81
Te 0.4406 0.5594 0.8804  3 Cu 2.63-2.81
Te 0.1679 0.8321 0.9309  2 Cu 2.64

Calculated values
Total DFT energy (no corrections) = -0.1555 Ha/atom
Magnetic moment = 0.00 μB/f.u.
Space-group type = Cmcm, No. 63
Mass density = 7053 kg/m3

No. 4
CsLu2CuTe3Se | PBE | relaxed

a = 7.9333 Å, b = 7.9333 Å, c = 15.0319 Å
α = 90.00°, β = 90.00°, γ = 148.54°
With the nearest neighbours (Å) after each atom.
Atoms (fractional coordinates):
Cs 0.5996 0.4004 0.2500  2 Se 3.47, 4 Te 3.70
Cs 0.4004 0.5996 0.7500  2 Se 3.47, 4 Te 3.70
Cu 0.3376 0.6624 0.2500  2 Se 2.50, 2 Te 2.63
Cu 0.6624 0.3376 0.7500  2 Se 2.50, 2 Te 2.63
Lu 0.8679 0.1321 0.0728  1 Se 2.78, 2 Te 2.97
Lu 0.8679 0.1321 0.4272  1 Se 2.78, 2 Te 2.97
Lu 0.1321 0.8679 0.5728  1 Se 2.78, 2 Te 2.97
Lu 0.1321 0.8679 0.9272  1 Se 2.78, 2 Te 2.97
Se 0.9212 0.0788 0.2500  2 Cu 2.50, 2 Lu 2.78
Se 0.0788 0.9212 0.7500  2 Cu 2.50, 2 Lu 2.78
Te 0.5000 0.5000 0.0000  4 Lu 3.15
Te 0.2377 0.7623 0.1072  1 Cu 2.63
Te 0.2377 0.7623 0.3928  1 Cu 2.63
Te 0.5000 0.5000 0.5000  4 Lu 3.15
Te 0.7623 0.2377 0.6072  1 Cu 2.63
Te 0.7623 0.2377 0.8928  1 Cu 2.63

Calculated values
Total DFT energy (no corrections) = -0.1644 Ha/atom
Magnetic moment = 0.00 μB/f.u.
Space-group type = Cmcm, No. 63
Mass density = 6780 kg/m3

No. 5
Cs2Lu4Cu4Te9 | PBE | relaxed

a = 8.0575 Å, b = 8.0575 Å, c = 17.6071 Å
α = 107.60°, β = 107.60°, γ = 31.37°
With the nearest neighbours (Å) after each atom.
Atoms (fractional coordinates):
Cs 0.4655 0.4655 0.2270  7 Te 3.64-3.79, 2 Cu 4.03
Cs 0.5345 0.5345 0.7730  7 Te 3.64-3.79, 2 Cu 4.03
Cu 0.7502 0.7502 0.2350  4 Te 2.61-2.75
Cu 0.0720 0.0720 0.4703  4 Te 2.63-2.74, 1 Cu 2.75
Cu 0.9280 0.9280 0.5297  4 Te 2.63-2.74, 1 Cu 2.75
Cu 0.2498 0.2498 0.7650  4 Te 2.61-2.75
Lu 0.1526 0.1526 0.0559  6 Te 2.98-3.14
Lu 0.2711 0.2711 0.3992  6 Te 2.99-3.10
Lu 0.7289 0.7289 0.6008  6 Te 2.99-3.10
Lu 0.8474 0.8474 0.9441  6 Te 2.98-3.14
Te 0.5000 0.5000 0.0000  4 Lu 3.14
Te 0.7927 0.7927 0.0979  1 Cu 2.69, 2 Lu 3.00
Te 0.1553 0.1553 0.2258  2 Cu 2.61
Te 0.8951 0.8951 0.3738  3 Cu 2.63-2.75
Te 0.6398 0.6398 0.4233  2 Cu 2.66
Te 0.3602 0.3602 0.5767  2 Cu 2.66
Te 0.1049 0.1049 0.6262  3 Cu 2.63-2.75
Te 0.8447 0.8447 0.7742  2 Cu 2.61
Te 0.2073 0.2073 0.9021  1 Cu 2.69, 2 Lu 3.00

Calculated values
Total DFT energy (no corrections) = -0.1553 Ha/atom
Magnetic moment = 0.00 μB/f.u.
Space-group type = C2/m, No. 12
Mass density = 6961 kg/m3

No. 6
CsLuCuTe3 | PBE | relaxed

a = 10.4667 Å, b = 4.2261 Å, c = 10.7711 Å
α = 90.00°, β = 116.20°, γ = 90.00°
With the nearest neighbours (Å) after each atom.
Atoms (fractional coordinates):
Cs 0.2807 0.7500 0.2501  7 Te 3.85-3.88, 2 Cs 4.23
Cs 0.7193 0.2500 0.7499  7 Te 3.85-3.88, 2 Cs 4.23
Cu 0.5815 0.2500 0.0996  4 Te 2.62-2.65
Cu 0.4185 0.7500 0.9004  4 Te 2.62-2.65
Lu 0.8231 0.7500 0.3559  6 Te 3.00-3.04
Lu 0.1769 0.2500 0.6441  6 Te 3.00-3.04
Te 0.6979 0.7500 0.0416  3 Cu 2.63-2.65
Te 0.0208 0.2500 0.3330  3 Lu 3.01-3.04
Te 0.6207 0.2500 0.3575  1 Cu 2.62
Te 0.3793 0.7500 0.6425  1 Cu 2.62
Te 0.9792 0.7500 0.6670  3 Lu 3.01-3.04
Te 0.3021 0.2500 0.9584  3 Cu 2.63-2.65

Calculated values
Total DFT energy (no corrections) = -0.1469 Ha/atom
Magnetic moment = 0.00 μB/f.u.
Space-group type = P2_1/m, No. 11
Mass density = 5859 kg/m3

No. 7
CsLuCuTe3 | PBE | relaxed

a = 9.0642 Å, b = 9.0642 Å, c = 11.1466 Å
α = 90.00°, β = 90.00°, γ = 153.26°
With the nearest neighbours (Å) after each atom.
Atoms (fractional coordinates):
Cs 0.7451 0.2549 0.2500  8 Te 3.83-4.12, 2 Cs 4.19
Cs 0.2549 0.7451 0.7500  8 Te 3.83-4.12, 2 Cs 4.19
Cu 0.4690 0.5310 0.2500  4 Te 2.61-2.67
Cu 0.5310 0.4690 0.7500  4 Te 2.61-2.67
Lu 0.0000 0.0000 0.0000  6 Te 3.00-3.02
Lu 0.0000 0.0000 0.5000  6 Te 3.00-3.02
Te 0.3828 0.6172 0.0597  1 Cu 2.61
Te 0.0631 0.9369 0.2500  2 Cu 2.67
Te 0.3828 0.6172 0.4403  1 Cu 2.61
Te 0.6172 0.3828 0.5597  1 Cu 2.61
Te 0.9369 0.0631 0.7500  2 Cu 2.67
Te 0.6172 0.3828 0.9403  1 Cu 2.61

Calculated values
Total DFT energy (no corrections) = -0.1468 Ha/atom
Magnetic moment = 0.00 μB/f.u.
Space-group type = Cmcm, No. 63
Mass density = 6079 kg/m3

No. 8
CsLu2CuTe4 | PBE | relaxed

a = 8.0169 Å, b = 8.0169 Å, c = 15.4164 Å
α = 90.00°, β = 90.00°, γ = 148.25°
With the nearest neighbours (Å) after each atom.
Atoms (fractional coordinates):
Cs 0.8886 0.1114 0.2500  6 Te 3.61-3.71
Cs 0.1114 0.8886 0.7500  6 Te 3.61-3.71
Cu 0.1662 0.8338 0.2500  4 Te 2.61-2.65
Cu 0.8338 0.1662 0.7500  4 Te 2.61-2.65
Lu 0.6326 0.3674 0.0638  6 Te 3.00-3.16
Lu 0.6326 0.3674 0.4362  6 Te 3.00-3.16
Lu 0.3674 0.6326 0.5638  6 Te 3.00-3.16
Lu 0.3674 0.6326 0.9362  6 Te 3.00-3.16
Te 0.0000 0.0000 0.0000  4 Lu 3.16
Te 0.2592 0.7408 0.1051  1 Cu 2.65
Te 0.5742 0.4258 0.2500  2 Cu 2.61
Te 0.2592 0.7408 0.3949  1 Cu 2.65
Te 0.0000 0.0000 0.5000  4 Lu 3.16
Te 0.7408 0.2592 0.6051  1 Cu 2.65
Te 0.4258 0.5742 0.7500  2 Cu 2.61
Te 0.7408 0.2592 0.8949  1 Cu 2.65

Calculated values
Total DFT energy (no corrections) = -0.1596 Ha/atom
Magnetic moment = 0.00 μB/f.u.
Space-group type = Cmcm, No. 63
Mass density = 6732 kg/m3

No. 9
CsMgCu | PBE | relaxed

a = 5.5441 Å, b = 5.5441 Å, c = 5.5441 Å
α = 60.00°, β = 60.00°, γ = 60.00°
With the nearest neighbours (Å) after each atom.
Atoms (fractional coordinates):
Cs 0.2500 0.2500 0.2500  4 Cu 3.40
Cu 0.0000 0.0000 0.0000  4 Mg 3.40, 4 Cs 3.40
Mg 0.7500 0.7500 0.7500  4 Cu 3.40

Calculated values
Distance to the lowest polymorph of the same formula = 0 meV/atom
Space-group type = F-43m, No. 216
Mass density = 3042 kg/m3

No. 10
CsMgCu | PBE | relaxed

a = 5.5734 Å, b = 5.5734 Å, c = 5.5734 Å
α = 60.00°, β = 60.00°, γ = 60.00°
With the nearest neighbours (Å) after each atom.
Atoms (fractional coordinates):
Cs 0.2500 0.2500 0.2500  4 Mg 3.41
Cu 0.7500 0.7500 0.7500  4 Mg 3.41
Mg 0.0000 0.0000 0.0000  4 Cu 3.41, 4 Cs 3.41

Calculated values
Distance to the lowest polymorph of the same formula = 140 meV/atom
Space-group type = F-43m, No. 216
Mass density = 2995 kg/m3

| no. | V (Å³ per atom) |
| --- | --- |
| 1 | 29.97 |
| 2 | 26.74 |
| 3 | 27.03 |
| 4 | 30.86 |
| 5 | 29.73 |
| 6 | 35.63 |
| 7 | 34.34 |
| 8 | 32.59 |
| 9 | 40.17 |
| 10 | 40.81 |